Record 1
Material: BeAsP2S
Method: DFT, SCAN
State: single point on PBEsol structure

a = 4.3033 Å, b = 4.3033 Å, c = 4.1163 Å
α = 90.00°, β = 90.00°, γ = 90.00°
Atoms (fractional coordinates):
P 0.0000 0.5000 0.0000
P 0.5000 0.0000 0.0000
As 0.5000 0.5000 0.5000
S 0.0000 0.0000 0.5000
Be 0.0000 0.0000 0.0000

Crystal system   tetragonal
Uncorrected formation energy   0.73 eV per atom

***

Record 2
Material: BeAs2Pb
Method: DFT, SCAN
State: single point on PBEsol structure

a = 3.2379 Å, b = 3.2379 Å, c = 8.0016 Å
α = 90.00°, β = 90.00°, γ = 109.95°
Atoms (fractional coordinates):
Pb 0.5000 0.5000 0.0000
Be 0.5000 0.5000 0.5000
As 0.0000 0.0000 0.3286
As 0.0000 0.0000 0.6714

Crystal system   orthorhombic
Formation enthalpy at 0 K   0.283 eV per atom

***

Record 3
Material: BeAs2Pb
Method: DFT, SCAN
State: single point on PBEsol structure

a = 4.0537 Å, b = 4.0534 Å, c = 5.6608 Å
α = 90.00°, β = 90.00°, γ = 90.00°
Atoms (fractional coordinates):
Pb 0.1233 0.5000 0.7500
Be 0.6269 0.0000 0.2501
As 0.1263 0.0000 0.0623
As 0.6235 0.5000 0.4376

Crystal system   monoclinic
Formation enthalpy at 0 K   -0.071 eV per atom

***

Record 4
Material: BeAs2Pb
Method: DFT, SCAN
State: single point on PBEsol structure

a = 3.7755 Å, b = 3.9492 Å, c = 5.2808 Å
α = 90.00°, β = 90.00°, γ = 90.00°
Atoms (fractional coordinates):
Pb 0.0000 0.5000 0.5000
Be 0.5000 0.0000 0.5000
As 0.0000 0.0000 0.0000
As 0.5000 0.5000 0.0000

Crystal system   orthorhombic
Formation enthalpy at 0 K   0.610 eV per atom

***

Record 5
Material: BeAsPb
Method: DFT, SCAN
State: single point on PBEsol structure

a = 3.3058 Å, b = 3.3013 Å, c = 6.1133 Å
α = 105.67°, β = 105.69°, γ = 90.00°
Atoms (fractional coordinates):
Pb 0.3338 0.3338 0.6675
Be 0.5848 0.5848 0.1696
As 0.0814 0.0814 0.1629

Crystal system   tetragonal
Excess energy over the best structure of this formula in the dataset   0.287 eV per atom
Formation enthalpy at 0 K   0.276 eV per atom

***

Record 6
Material: BeAsPb
Method: DFT, SCAN
State: single point on PBEsol structure

a = 3.7555 Å, b = 3.7555 Å, c = 5.0269 Å
α = 90.00°, β = 90.00°, γ = 120.00°
Atoms (fractional coordinates):
Pb 0.3333 0.6667 0.3486
Be 0.6667 0.3333 0.7970
As 0.0000 0.0000 0.8545

Crystal system   trigonal
Excess energy over the best structure of this formula in the dataset   0.000 eV per atom
Formation enthalpy at 0 K   -0.010 eV per atom

***

Record 7
Material: Be2As2Pb
Method: DFT, SCAN
State: single point on PBEsol structure

a = 3.6548 Å, b = 3.6548 Å, c = 7.1595 Å
α = 104.79°, β = 104.79°, γ = 90.00°
Atoms (fractional coordinates):
Pb 0.0000 0.0000 0.0000
Be 0.2500 0.7500 0.5000
Be 0.7500 0.2500 0.5000
As 0.3552 0.3552 0.7103
As 0.6448 0.6448 0.2897

Crystal system   tetragonal
Formation enthalpy at 0 K   -0.031 eV per atom

***

Record 8
Material: BeAsPd2
Method: DFT, SCAN
State: single point on PBEsol structure

a = 4.2329 Å, b = 4.2329 Å, c = 4.2329 Å
α = 60.00°, β = 60.00°, γ = 60.00°
Atoms (fractional coordinates):
Be 0.0000 0.0000 0.0000
As 0.5000 0.5000 0.5000
Pd 0.2500 0.2500 0.2500
Pd 0.7500 0.7500 0.7500

Crystal system   cubic
Formation enthalpy at 0 K   -0.309 eV per atom

***

For reference, raw total energy by record: -10.26, -29.85, -30.20, -29.52, -33.17, -33.45, -25.00, -22.83 eV per atom.